(1)
The following is a DFT calculation (PBE) of a relaxed LaYTa2 crystal.

```
4
Lattice="3.831 0.000 0.000 0.000 3.831 0.000 0.000 0.000 6.775" Properties=species:S:1:pos:R:3 pbc="T T T"
La 1.915 1.915 5.082
Ta 0.000 0.000 6.483
Ta 0.000 0.000 3.680
Y 1.915 1.915 1.694
```

Results
crystal system = tetragonal
energy = -8.12 eV/atom
E_form = 656 meV/atom
N(E_F) = 3.99 states/eV/cell
magnetic moment = 0.000 μB per formula unit



(2)
The following is a DFT calculation (PBE) of a relaxed La2YTa crystal.

```
4
Lattice="-4.384 -2.137 -0.257 1.264 -3.027 3.618 -1.732 3.162 3.250" Properties=species:S:1:pos:R:3 pbc="T T T"
La 0.000 0.000 0.000
La -1.560 -2.582 1.681
Ta -3.058 0.513 1.497
Y -0.234 0.068 3.434
```

Results
crystal system = tetragonal
energy = -6.61 eV/atom
E_form = 429 meV/atom
N(E_F) = 5.39 states/eV/cell
magnetic moment = 0.005 μB per formula unit



(3)
The following is a DFT calculation (PBE) of a relaxed LaYTa2 crystal.

```
4
Lattice="-1.808 1.192 -4.561 -0.646 -2.935 -0.511 -6.290 -2.071 1.951" Properties=species:S:1:pos:R:3 pbc="T T T"
La -6.106 -3.159 -1.201
Ta -0.764 -2.919 -0.460
Ta -3.350 -2.520 0.669
Y -2.638 -0.655 -1.921
```

Results
crystal system = monoclinic
energy = -8.22 eV/atom
E_form = 556 meV/atom
N(E_F) = 4.33 states/eV/cell
magnetic moment = 0.000 μB per formula unit



(4)
The following is a DFT calculation (PBE) of a relaxed LaYTa crystal.

```
3
Lattice="-2.912 -3.520 -2.558 -0.430 0.474 5.197 -2.395 2.277 -0.406" Properties=species:S:1:pos:R:3 pbc="T T T"
La -0.399 0.379 -0.068
Ta -2.485 -1.808 -0.041
Y -2.854 0.660 2.341
```

Results
crystal system = hexagonal
energy = -7.34 eV/atom
E_form = 412 meV/atom
N(E_F) = 4.15 states/eV/cell
magnetic moment = 0.000 μB per formula unit



- Number 3 is which compound?
  LaYTa2